A geometry-optimized YTaAs2Se structure. Source: Alexandria via LeMat-Bulk, functional PBE.

a b c (Å): 4.9986 4.9986 4.9952
angles (deg): 90.00 90.00 90.00
With the nearest neighbours (Å) after each atom.
Space group P4/mmm (No. 123)
Asymmetric unit:
Y 0.0000 0.0000 0.0000  8 As 3.53, 4 Se 3.53
Ta 0.5000 0.5000 0.5000  2 Se 2.50, 4 As 2.50
As 0.0000 0.5000 0.5000  2 Ta 2.50
Se 0.5000 0.5000 0.0000  2 Ta 2.50

Properties
- relative energy among the computed polymorphs (meV/atom) = 0
- energy relative to the elements, uncorrected (eV per atom) = -0.3191



A geometry-optimized YTaAs2Se structure. Source: Alexandria via LeMat-Bulk, functional PBE.

a b c (Å): 5.2606 5.2606 5.1929
angles (deg): 90.00 90.00 90.00
With the nearest neighbours (Å) after each atom.
Space group P4/mmm (No. 123)
Asymmetric unit:
Y 0.0000 0.0000 0.0000  2 Se 2.60, 4 As 2.63
Ta 0.5000 0.5000 0.5000  8 As 3.70, 4 Se 3.72
As 0.0000 0.5000 0.0000  2 Y 2.63
Se 0.0000 0.0000 0.5000  2 Y 2.60

Properties
- relative energy among the computed polymorphs (meV/atom) = 1358
- energy relative to the elements, uncorrected (eV per atom) = 1.0385



A geometry-optimized TaZnAs2Se structure. Source: Alexandria via LeMat-Bulk, functional PBE.

a b c (Å): 5.0549 5.0549 4.9649
angles (deg): 90.00 90.00 90.00
With the nearest neighbours (Å) after each atom.
Space group P4/mmm (No. 123)
Asymmetric unit:
Ta 0.0000 0.0000 0.0000  2 Se 2.48, 4 As 2.53
Zn 0.5000 0.5000 0.5000  8 As 3.54, 4 Se 3.57
As 0.0000 0.5000 0.0000  2 Ta 2.53
Se 0.0000 0.0000 0.5000  2 Ta 2.48

Properties
- relative energy among the computed polymorphs (meV/atom) = 0
- energy relative to the elements, uncorrected (eV per atom) = 0.2594



A geometry-optimized TaZnAs2Se structure. Source: Alexandria via LeMat-Bulk, functional PBE.

a b c (Å): 4.6753 4.6753 4.8196
angles (deg): 90.00 90.00 90.00
With the nearest neighbours (Å) after each atom.
Space group P4/mmm (No. 123)
Asymmetric unit:
Ta 0.0000 0.0000 0.0000  4 Se 3.31, 8 As 3.36
Zn 0.5000 0.5000 0.5000  4 As 2.34, 2 Se 2.41
As 0.0000 0.5000 0.5000  2 Zn 2.34
Se 0.5000 0.5000 0.0000  2 Zn 2.41

Properties
- relative energy among the computed polymorphs (meV/atom) = 787
- energy relative to the elements, uncorrected (eV per atom) = 1.0462



A geometry-optimized TaZnAsSe2 structure. Source: Alexandria via LeMat-Bulk, functional PBE.

a b c (Å): 4.9899 4.9899 5.1429
angles (deg): 90.00 90.00 90.00
With the nearest neighbours (Å) after each atom.
Space group P4/mmm (No. 123)
Asymmetric unit:
Ta 0.0000 0.0000 0.0000  4 Se 2.49, 2 As 2.57
Zn 0.5000 0.5000 0.5000  4 As 3.53, 8 Se 3.58
As 0.0000 0.0000 0.5000  2 Ta 2.57
Se 0.0000 0.5000 0.0000  2 Ta 2.49

Properties
- relative energy among the computed polymorphs (meV/atom) = 0
- energy relative to the elements, uncorrected (eV per atom) = 0.1015



A geometry-optimized TaZnAsSe2 structure. Source: Alexandria via LeMat-Bulk, functional PBE.

a b c (Å): 4.7802 4.7802 4.6782
angles (deg): 90.00 90.00 90.00
With the nearest neighbours (Å) after each atom.
Space group P4/mmm (No. 123)
Asymmetric unit:
Ta 0.0000 0.0000 0.0000  8 Se 3.34, 4 As 3.38
Zn 0.5000 0.5000 0.5000  2 As 2.34, 4 Se 2.39
As 0.5000 0.5000 0.0000  2 Zn 2.34
Se 0.0000 0.5000 0.5000  2 Zn 2.39

Properties
- relative energy among the computed polymorphs (meV/atom) = 855
- energy relative to the elements, uncorrected (eV per atom) = 0.9567



Values of density, in order: 6.63; 5.76; 6.22; 7.49; 6.21; 7.44, all in Mg/m³.
Values of total DFT energy (no corrections), in order: -6.539; -5.182; -4.923; -4.136; -4.848; -3.992, all in eV/atom.